No. 1
First-principles (GGA-PBE) data for crystalline RbU4Ni3S12 at its relaxed geometry, as listed in Alexandria via LeMat-Bulk.

The space group is Im-3 (No. 204) and the conventional cell measures 9.626, 9.626 and 9.626 Å, with angles of 90.00, 90.00 and 90.00 degrees. The inequivalent atoms are Rb at (0.000, 0.000, 0.000), U at (0.250, 0.250, 0.250), Ni at (0.000, 0.000, 0.500) and S at (0.000, 0.162, 0.327).

As for the raw total energy: -262.09 eV/cell. The energy relative to the elements, uncorrected is -0.903 eV per atom. For the total moment, the calculation gives 14.1 μB per cell. As for the volume: 22.30 A^3/atom.

=====

No. 2
First-principles (GGA-PBE) data for crystalline La4TbHo3S8 at its relaxed geometry, as listed in Alexandria via LeMat-Bulk.

The space group is R-3m (No. 166, hexagonal axes) and the conventional cell measures 7.9833, 7.9833 and 20.0471 Å, with angles of 90.00, 90.00 and 120.00 degrees. The inequivalent atoms are La at (0.0000, 0.0000, 0.0000), La at (0.0000, 0.5000, 0.0000), Tb at (0.0000, 0.0000, 0.5000), Ho at (0.0000, 0.5000, 0.5000), S at (0.0000, 0.0000, 0.2423) and S at (0.0020, 0.5010, 0.7573).

As for the raw total energy: -313.13 eV/cell. The energy relative to the elements, uncorrected is -2.080 eV per atom. For the total moment, the calculation gives 0.0 μB per cell. As for the volume: 23.05 A^3/atom.

=====

- What is the formula in the first record?
  RbU4Ni3S12

=====

- energy relative to the elements, uncorrected of number 1 (RbU4Ni3S12)?
  -0.903 eV per atom